Record 1
Computed, not measured: an optimized crystal structure of InTcRu2 at the PBEsol level of DFT.

a b c (Å): 2.796 2.796 7.660
angles (deg): 90.00 90.00 90.00
Positions (direct):
Ru 0.500 0.500 0.251
In 0.500 0.500 0.754
Ru 0.000 0.000 0.020
Tc 0.000 0.000 0.476

The calculation puts the formation energy at 0.22 eV per atom.

Record 2
Computed, not measured: an optimized crystal structure of InTc2Ru at the PBEsol level of DFT.

a b c (Å): 4.401 4.401 4.401
angles (deg): 60.00 60.00 60.00
Positions (direct):
In 0.500 0.500 0.500
Ru 0.750 0.750 0.750
Tc 0.000 0.000 0.000
Tc 0.250 0.250 0.250

The calculation puts the formation energy at 0.33 eV per atom.